[1]
Density functional theory data (PBE) for crystalline AlPIr2 at its relaxed geometry.

a = 2.871 Å, b = 4.888 Å, c = 8.379 Å
α = 90.00°, β = 90.00°, γ = 90.00°
Space group Cmm2 (No. 35)
Asymmetric unit:
Al 0.000 0.000 0.000
P 0.000 0.500 0.749
Ir 0.000 0.000 0.526
Ir 0.000 0.500 0.235

Output
- N(E_F): 5.1 states/eV per cell
- Final energy: -0.24363 hartree per atom
- Calculated formation energy: 0.089 eV/atom
- Relative energy among the computed polymorphs: 515 meV/atom



[2]
Density functional theory data (PBE) for crystalline Ni2AgIr at its relaxed geometry.

a = 2.748 Å, b = 4.542 Å, c = 8.954 Å
α = 90.00°, β = 90.00°, γ = 90.00°
Space group Cmm2 (No. 35)
Asymmetric unit:
Ni 0.000 0.000 0.000
Ni 0.000 0.500 0.220
Ag 0.000 0.000 0.477
Ir 0.000 0.500 0.763

Output
- N(E_F): 11.6 states/eV per cell
- Final energy: -0.20224 hartree per atom
- Calculated formation energy: 0.315 eV/atom
- Relative energy among the computed polymorphs: 181 meV/atom



[3]
Density functional theory data (PBE) for crystalline Nd4Sn2O at its relaxed geometry.

a = 4.722 Å, b = 4.722 Å, c = 18.374 Å
α = 90.00°, β = 90.00°, γ = 90.00°
Space group I4/mmm (No. 139)
Asymmetric unit:
Nd 0.000 0.000 0.171
Nd 0.000 0.500 0.000
Sn 0.000 0.000 0.351
O 0.000 0.000 0.500

Output
- N(E_F): 17.9 states/eV per cell
- Energy relative to the elements, uncorrected: -0.99 eV per atom
- Final energy: -0.20466 hartree per atom
- Relative energy among the computed polymorphs: 263 meV/atom



[4]
Density functional theory data (PBE) for crystalline TmHfCuPt at its relaxed geometry.

a = 6.718 Å, b = 6.718 Å, c = 6.718 Å
α = 90.00°, β = 90.00°, γ = 90.00°
Space group F-43m (No. 216)
Asymmetric unit:
Tm 0.000 0.000 0.000
Hf 0.000 0.000 0.500
Cu 0.250 0.250 0.750
Pt 0.250 0.250 0.250

Output
- N(E_F): 13.7 states/eV per cell
- Final energy: -0.24940 hartree per atom
- Calculated formation energy: -0.646 eV/atom



[5]
Density functional theory data (PBE) for crystalline RbTlGa2Rh at its relaxed geometry.

a = 4.939 Å, b = 4.939 Å, c = 5.409 Å
α = 90.00°, β = 90.00°, γ = 90.00°
Space group P4/mmm (No. 123)
Asymmetric unit:
Rb 0.000 0.000 0.000
Tl 0.500 0.500 0.000
Ga 0.000 0.500 0.500
Rh 0.500 0.500 0.500

Output
- N(E_F): 3.4 states/eV per cell
- Final energy: -0.12927 hartree per atom
- Calculated formation energy: -0.170 eV/atom



[6]
Density functional theory data (PBE) for crystalline Cs2ScUS5 at its relaxed geometry.

a = 4.196 Å, b = 19.023 Å, c = 15.566 Å
α = 90.00°, β = 90.00°, γ = 90.00°
Space group Cmc2_1 (No. 36)
Asymmetric unit:
Cs 0.000 0.096 0.000
Cs 0.000 0.136 0.645
Sc 0.000 0.439 0.767
U 0.000 0.211 0.358
S 0.000 0.066 0.357
S 0.000 0.286 0.963
S 0.000 0.308 0.746
S 0.000 0.337 0.333
S 0.000 0.494 0.636

Output
- N(E_F): 16.0 states/eV per cell
- Energy relative to the elements, uncorrected: -1.42 eV per atom
- Final energy: -0.21538 hartree per atom



[7]
Density functional theory data (PBE) for crystalline YGaCu2Pd4 at its relaxed geometry.

a = 4.4405 Å, b = 4.4405 Å, c = 22.4234 Å
α = 90.00°, β = 90.00°, γ = 120.00°
Space group R-3m (No. 166, hexagonal axes)
Asymmetric unit:
Y 0.0000 0.0000 0.0000
Ga 0.0000 0.0000 0.5000
Cu 0.0000 0.0000 0.2525
Pd 0.0000 0.0000 0.1307
Pd 0.0000 0.0000 0.3903

Output
- N(E_F): 13.1 states/eV per cell
- Final energy: -0.19605 hartree per atom
- Calculated formation energy: -0.528 eV/atom



[8]
Density functional theory data (PBE) for crystalline KTaAl4 at its relaxed geometry.

a = 7.680 Å, b = 7.680 Å, c = 7.680 Å
α = 90.00°, β = 90.00°, γ = 90.00°
Space group F-43m (No. 216)
Asymmetric unit:
K 0.000 0.000 0.000
Ta 0.250 0.250 0.750
Al 0.124 0.124 0.376

Output
- N(E_F): 21.1 states/eV per cell
- Final energy: -0.15889 hartree per atom
- Calculated formation energy: 0.330 eV/atom



[9]
Density functional theory data (PBE) for crystalline Hf5ZrN4 at its relaxed geometry.

a = 13.822 Å, b = 3.246 Å, c = 6.512 Å
α = 90.00°, β = 103.95°, γ = 90.00°
Space group C2/m (No. 12)
Asymmetric unit:
Hf 0.000 0.000 0.000
Hf 0.164 0.500 0.344
Hf 0.170 0.500 0.823
Zr 0.000 0.000 0.500
N 0.004 0.500 0.759
N 0.170 0.000 0.584

Output
- N(E_F): 8.5 states/eV per cell
- Energy relative to the elements, uncorrected: -1.41 eV per atom
- Final energy: -0.38846 hartree per atom



[10]
Density functional theory data (PBE) for crystalline Zn2PF at its relaxed geometry.

a = 5.071 Å, b = 5.071 Å, c = 11.466 Å
α = 90.00°, β = 90.00°, γ = 90.00°
Space group I-42d (No. 122)
Asymmetric unit:
Zn 0.248 0.250 0.125
P 0.000 0.000 0.000
F 0.000 0.000 0.500

Output
- N(E_F): 0.0 states/eV per cell
- Energy relative to the elements, uncorrected: -0.86 eV per atom
- Final energy: -0.12195 hartree per atom
- Relative energy among the computed polymorphs: 34 meV/atom



[11]
Density functional theory data (PBE) for crystalline UTl3Cu2O9 at its relaxed geometry.

a = 5.6615 Å, b = 5.6615 Å, c = 7.1045 Å
α = 90.00°, β = 90.00°, γ = 120.00°
Space group P-3m1 (No. 164)
Asymmetric unit:
U 0.0000 0.0000 0.0000
Tl 0.0000 0.0000 0.5000
Tl 0.3333 0.6667 0.2268
Cu 0.3333 0.6667 0.6635
O 0.0000 0.5000 0.5000
O 0.1685 0.3369 0.8262

Output
- N(E_F): 4.5 states/eV per cell
- Energy relative to the elements, uncorrected: -1.07 eV per atom
- Final energy: -0.21381 hartree per atom



[12]
Density functional theory data (PBE) for crystalline Li2Ag3F8 at its relaxed geometry.

a = 3.332 Å, b = 7.330 Å, c = 8.352 Å
α = 77.47°, β = 82.70°, γ = 78.56°
Space group P-1 (No. 2)
Asymmetric unit:
Li 0.193 0.142 0.337
Ag 0.000 0.000 0.000
Ag 0.314 0.332 0.630
F 0.152 0.419 0.367
F 0.231 0.880 0.799
F 0.256 0.876 0.457
F 0.411 0.788 0.140

Output
- N(E_F): 4.3 states/eV per cell
- Energy relative to the elements, uncorrected: -1.63 eV per atom
- Final energy: -0.13708 hartree per atom